Here is RbSbP2Cl after structural relaxation from Alexandria via LeMat-Bulk. Energies are from PBE.

Values from the calculation:
The distance to the lowest polymorph of the same formula comes out at 1171 meV per atom. The formation energy from raw total energies comes out at 1.23 eV per atom. The calculation puts the spin magnetization at 3.00 μB per formula unit.

a = 6.5554 Å, b = 6.5554 Å, c = 5.7785 Å
α = 90.00°, β = 90.00°, γ = 90.00°
Space group P4/mmm (No. 123)
Unique sites:
1 Rb 0.0000 0.0000 0.0000 x1
2 Sb 0.5000 0.5000 0.5000 x1
3 P 0.0000 0.5000 0.0000 x2
4 Cl 0.0000 0.0000 0.5000 x1

---

Here is RbSbP2Cl after structural relaxation from Alexandria via LeMat-Bulk. Energies are from PBE.

Values from the calculation:
The distance to the lowest polymorph of the same formula comes out at 0 meV per atom. The formation energy from raw total energies comes out at 0.06 eV per atom. The calculation puts the spin magnetization at 0.84 μB per formula unit.

a = 5.1097 Å, b = 5.1097 Å, c = 5.9676 Å
α = 90.00°, β = 90.00°, γ = 90.00°
Space group P4/mmm (No. 123)
Unique sites:
1 Rb 0.0000 0.0000 0.0000 x1
2 Sb 0.5000 0.5000 0.5000 x1
3 P 0.0000 0.5000 0.5000 x2
4 Cl 0.5000 0.5000 0.0000 x1

---

Here is RbSbPCl2 after structural relaxation from Alexandria via LeMat-Bulk. Energies are from PBE.

Values from the calculation:
The distance to the lowest polymorph of the same formula comes out at 0 meV per atom. The formation energy from raw total energies comes out at -0.53 eV per atom. The calculation puts the spin magnetization at 0.71 μB per formula unit.

a = 5.5887 Å, b = 5.5887 Å, c = 5.1979 Å
α = 90.00°, β = 90.00°, γ = 90.00°
Space group P4/mmm (No. 123)
Unique sites:
1 Rb 0.0000 0.0000 0.0000 x1
2 Sb 0.5000 0.5000 0.5000 x1
3 P 0.5000 0.5000 0.0000 x1
4 Cl 0.0000 0.5000 0.5000 x2

---

Which of these has the lowest spin magnetization? RbSbPCl2

---

The highest distance to the lowest polymorph of the same formula belongs to which entry? number 1

---

Please write out number 3 again, unchanged.
Here is RbSbPCl2 after structural relaxation from Alexandria via LeMat-Bulk. Energies are from PBE.

Values from the calculation:
The distance to the lowest polymorph of the same formula comes out at 0 meV per atom. The formation energy from raw total energies comes out at -0.53 eV per atom. The calculation puts the spin magnetization at 0.71 μB per formula unit.

a = 5.5887 Å, b = 5.5887 Å, c = 5.1979 Å
α = 90.00°, β = 90.00°, γ = 90.00°
Space group P4/mmm (No. 123)
Unique sites:
1 Rb 0.0000 0.0000 0.0000 x1
2 Sb 0.5000 0.5000 0.5000 x1
3 P 0.5000 0.5000 0.0000 x1
4 Cl 0.0000 0.5000 0.5000 x2

---

Which value of distance to the lowest polymorph of the same formula does entry 2 give? 0 meV per atom